[1]
Compound: GeTePt
Source: the Alexandria database
Functional: meta-GGA SCAN
Structure: single point on PBEsol structure

POSCAR file:
```
GeTePt
1.0
-4.312 -2.512 -3.763
-3.550 -1.345 4.965
-2.805 5.563 -0.499
Te Ge Pt
4 4 4
direct
0.876 0.124 0.624
0.376 0.376 0.376
0.624 0.876 0.124
0.124 0.624 0.876
0.877 0.377 0.123
0.377 0.123 0.877
0.623 0.623 0.623
0.123 0.877 0.377
0.514 0.486 0.986
0.014 0.014 0.014
0.986 0.514 0.486
0.486 0.986 0.514
```

Properties
uncorrected formation energy	-0.590	eV/atom
uncorrected energy	-42.77	eV per atom
symmetry	No. 198
calculated volume	61.0	Å³/f.u.
M_tot	0.0000	μB per atom
D(E_F)	0.03	states/eV per cell

***

[2]
Compound: Nd3Sn7
Source: the Alexandria database
Functional: meta-GGA SCAN
Structure: single point on PBEsol structure

POSCAR file:
```
Nd3Sn7
1.0
4.508 0.000 0.000
0.000 4.574 0.000
-2.254 0.000 12.719
Sn Nd
7 3
direct
0.290 0.500 0.580
0.904 0.500 0.808
0.596 0.000 0.191
0.500 0.500 0.000
0.096 0.500 0.192
0.710 0.500 0.420
0.404 0.000 0.809
0.000 0.000 0.000
0.814 0.000 0.628
0.186 0.000 0.372
```

Properties
uncorrected energy	-38.89	eV per atom
symmetry	No. 65
calculated volume	262.2	Å³/f.u.
M_tot	0.0000	μB per atom
E_form	-671	meV per atom
D(E_F)	4.25	states/eV per cell

***

[3]
Compound: Tc5Au
Source: the Alexandria database
Functional: meta-GGA SCAN
Structure: single point on PBEsol structure

POSCAR file:
```
Tc5Au
1.0
-0.670 -2.068 1.697
0.266 -2.810 -3.320
7.269 -0.022 0.602
Tc Au
5 1
direct
0.669 0.000 0.338
0.329 0.000 0.657
0.884 0.500 0.769
0.561 0.500 0.122
0.224 0.500 0.448
0.000 0.000 0.999
```

Properties
uncorrected energy	-40.69	eV per atom
symmetry	No. 38
calculated volume	86.1	Å³/f.u.
M_tot	0.0000	μB per atom
E_form	49	meV per atom
D(E_F)	4.95	states/eV per cell